No. 1
# TaIrOs2, optimized geometry, DFT PBE-GGA
# - DOS(E_F): 3.3 states/eV per cell
# - Symmetry: I-4m2 (119)
# - E_form: -267.1 meV/atom
data_TaIrOs2
_symmetry_space_group_name_H-M 'P 1'
_symmetry_Int_Tables_number 1
_cell_length_a 4.823
_cell_length_b 4.823
_cell_length_c 4.823
_cell_angle_alpha 132.03
_cell_angle_beta 132.03
_cell_angle_gamma 70.18
loop_
_symmetry_equiv_pos_as_xyz
'x,y,z'
loop_
_atom_site_label
_atom_site_fract_x
_atom_site_fract_y
_atom_site_fract_z
Ta1 0.000 0.000 0.000
Ir1 0.250 0.750 0.500
Os1 0.500 0.500 0.000
Os2 0.750 0.250 0.500



No. 2
# Ta2IrOs, optimized geometry, DFT PBE-GGA
# - DOS(E_F): 2.3 states/eV per cell
# - Symmetry: Pm (6)
# - E_form: -390.6 meV/atom
data_Ta2IrOs
_symmetry_space_group_name_H-M 'P 1'
_symmetry_Int_Tables_number 1
_cell_length_a 2.952
_cell_length_b 4.550
_cell_length_c 4.955
_cell_angle_alpha 90.00
_cell_angle_beta 98.00
_cell_angle_gamma 90.00
loop_
_symmetry_equiv_pos_as_xyz
'x,y,z'
loop_
_atom_site_label
_atom_site_fract_x
_atom_site_fract_y
_atom_site_fract_z
Ta1 0.000 0.000 0.000
Ta2 0.174 0.500 0.604
Ir1 0.540 0.500 0.125
Os1 0.634 0.000 0.497



No. 3
# TaIr2Os, optimized geometry, DFT PBE-GGA
# - DOS(E_F): 2.8 states/eV per cell
# - Symmetry: P4/mmm (123)
# - E_form: -513.5 meV/atom
data_TaIr2Os
_symmetry_space_group_name_H-M 'P 1'
_symmetry_Int_Tables_number 1
_cell_length_a 3.915
_cell_length_b 3.915
_cell_length_c 3.941
_cell_angle_alpha 90.00
_cell_angle_beta 90.00
_cell_angle_gamma 90.00
loop_
_symmetry_equiv_pos_as_xyz
'x,y,z'
loop_
_atom_site_label
_atom_site_fract_x
_atom_site_fract_y
_atom_site_fract_z
Ta1 0.000 0.000 0.000
Ir1 0.000 0.500 0.500
Ir2 0.500 0.000 0.500
Os1 0.500 0.500 0.000



No. 4
# Ta5Ir4Os, optimized geometry, DFT PBE-GGA
# - DOS(E_F): 7.0 states/eV per cell
# - Symmetry: P4/mmm (123)
# - E_form: -506.1 meV/atom
data_Ta5Ir4Os
_symmetry_space_group_name_H-M 'P 1'
_symmetry_Int_Tables_number 1
_cell_length_a 2.917
_cell_length_b 2.917
_cell_length_c 18.999
_cell_angle_alpha 90.00
_cell_angle_beta 90.00
_cell_angle_gamma 90.00
loop_
_symmetry_equiv_pos_as_xyz
'x,y,z'
loop_
_atom_site_label
_atom_site_fract_x
_atom_site_fract_y
_atom_site_fract_z
Ta1 0.000 0.000 0.000
Ta2 0.000 0.000 0.201
Ta3 0.000 0.000 0.402
Ta4 0.000 0.000 0.598
Ta5 0.000 0.000 0.799
Ir1 0.500 0.500 0.100
Ir2 0.500 0.500 0.303
Ir3 0.500 0.500 0.697
Ir4 0.500 0.500 0.900
Os1 0.500 0.500 0.500



No. 5
# TaIrOs2, optimized geometry, DFT PBE-GGA
# - DOS(E_F): 4.4 states/eV per cell
# - Symmetry: R3m (160)
# - E_form: 10.7 meV/atom
data_TaIrOs2
_symmetry_space_group_name_H-M 'P 1'
_symmetry_Int_Tables_number 1
_cell_length_a 9.298
_cell_length_b 9.298
_cell_length_c 9.298
_cell_angle_alpha 17.21
_cell_angle_beta 17.21
_cell_angle_gamma 17.21
loop_
_symmetry_equiv_pos_as_xyz
'x,y,z'
loop_
_atom_site_label
_atom_site_fract_x
_atom_site_fract_y
_atom_site_fract_z
Ta1 0.000 0.000 0.000
Ir1 0.751 0.751 0.751
Os1 0.245 0.245 0.245
Os2 0.500 0.500 0.500



No. 6
# Ta2IrOs, optimized geometry, DFT PBE-GGA
# - DOS(E_F): 3.2 states/eV per cell
# - Symmetry: Pmm2 (25)
# - E_form: -201.5 meV/atom
data_Ta2IrOs
_symmetry_space_group_name_H-M 'P 1'
_symmetry_Int_Tables_number 1
_cell_length_a 3.055
_cell_length_b 3.644
_cell_length_c 5.938
_cell_angle_alpha 90.00
_cell_angle_beta 90.00
_cell_angle_gamma 90.00
loop_
_symmetry_equiv_pos_as_xyz
'x,y,z'
loop_
_atom_site_label
_atom_site_fract_x
_atom_site_fract_y
_atom_site_fract_z
Ta1 0.000 0.000 0.000
Ta2 0.500 0.500 0.297
Ir1 0.000 0.000 0.505
Os1 0.500 0.500 0.794



No. 7
# Ta11Ir4Os9, optimized geometry, DFT PBE-GGA
# - DOS(E_F): 16.7 states/eV per cell
# - Symmetry: Cmmm (65)
# - E_form: -323.6 meV/atom
data_Ta11Ir4Os9
_symmetry_space_group_name_H-M 'P 1'
_symmetry_Int_Tables_number 1
_cell_length_a 11.570
_cell_length_b 11.570
_cell_length_c 3.050
_cell_angle_alpha 90.00
_cell_angle_beta 90.00
_cell_angle_gamma 107.10
loop_
_symmetry_equiv_pos_as_xyz
'x,y,z'
loop_
_atom_site_label
_atom_site_fract_x
_atom_site_fract_y
_atom_site_fract_z
Ta1 0.000 0.000 0.000
Ta2 0.064 0.412 0.000
Ta3 0.191 0.809 0.000
Ta4 0.204 0.204 0.000
Ta5 0.377 0.623 0.000
Ta6 0.412 0.064 0.000
Ta7 0.588 0.936 0.000
Ta8 0.623 0.377 0.000
Ta9 0.796 0.796 0.000
Ta10 0.809 0.191 0.000
Ta11 0.936 0.588 0.000
Ir1 0.258 0.409 0.500
Ir2 0.409 0.258 0.500
Ir3 0.591 0.742 0.500
Ir4 0.742 0.591 0.500
Os1 0.006 0.211 0.500
Os2 0.163 0.613 0.500
Os3 0.211 0.006 0.500
Os4 0.387 0.837 0.500
Os5 0.500 0.500 0.500
Os6 0.613 0.163 0.500
Os7 0.789 0.994 0.500
Os8 0.837 0.387 0.500
Os9 0.994 0.789 0.500



No. 8
# TaIr2Os, optimized geometry, DFT PBE-GGA
# - DOS(E_F): 4.1 states/eV per cell
# - Symmetry: R3m (160)
# - E_form: -36.3 meV/atom
data_TaIr2Os
_symmetry_space_group_name_H-M 'P 1'
_symmetry_Int_Tables_number 1
_cell_length_a 9.291
_cell_length_b 9.291
_cell_length_c 9.291
_cell_angle_alpha 17.22
_cell_angle_beta 17.22
_cell_angle_gamma 17.22
loop_
_symmetry_equiv_pos_as_xyz
'x,y,z'
loop_
_atom_site_label
_atom_site_fract_x
_atom_site_fract_y
_atom_site_fract_z
Ta1 0.000 0.000 0.000
Ir1 0.500 0.500 0.500
Ir2 0.750 0.750 0.750
Os1 0.245 0.245 0.245



No. 9
# TaIr2Os, optimized geometry, DFT PBE-GGA
# - DOS(E_F): 3.0 states/eV per cell
# - Symmetry: Cm (8)
# - E_form: -277.2 meV/atom
data_TaIr2Os
_symmetry_space_group_name_H-M 'P 1'
_symmetry_Int_Tables_number 1
_cell_length_a 4.805
_cell_length_b 4.805
_cell_length_c 4.841
_cell_angle_alpha 99.62
_cell_angle_beta 99.62
_cell_angle_gamma 33.80
loop_
_symmetry_equiv_pos_as_xyz
'x,y,z'
loop_
_atom_site_label
_atom_site_fract_x
_atom_site_fract_y
_atom_site_fract_z
Ta1 0.000 0.000 0.000
Ir1 0.251 0.251 0.755
Ir2 0.496 0.496 0.490
Os1 0.752 0.752 0.283



No. 10
# Ta2IrOs, optimized geometry, DFT PBE-GGA
# - DOS(E_F): 6.4 states/eV per cell
# - Symmetry: Pmma (51)
# - E_form: -391.4 meV/atom
data_Ta2IrOs
_symmetry_space_group_name_H-M 'P 1'
_symmetry_Int_Tables_number 1
_cell_length_a 4.194
_cell_length_b 3.697
_cell_length_c 8.377
_cell_angle_alpha 90.00
_cell_angle_beta 90.00
_cell_angle_gamma 90.00
loop_
_symmetry_equiv_pos_as_xyz
'x,y,z'
loop_
_atom_site_label
_atom_site_fract_x
_atom_site_fract_y
_atom_site_fract_z
Ta1 0.250 0.000 0.123
Ta2 0.250 0.000 0.627
Ta3 0.750 0.000 0.373
Ta4 0.750 0.000 0.877
Ir1 0.250 0.500 0.379
Ir2 0.750 0.500 0.621
Os1 0.250 0.500 0.871
Os2 0.750 0.500 0.129



No. 11
# TaIrOs2, optimized geometry, DFT PBE-GGA
# - DOS(E_F): 10.4 states/eV per cell
# - Symmetry: Fm-3m (225)
# - E_form: 243.7 meV/atom
data_TaIrOs2
_symmetry_space_group_name_H-M 'P 1'
_symmetry_Int_Tables_number 1
_cell_length_a 4.445
_cell_length_b 4.445
_cell_length_c 4.445
_cell_angle_alpha 60.00
_cell_angle_beta 60.00
_cell_angle_gamma 60.00
loop_
_symmetry_equiv_pos_as_xyz
'x,y,z'
loop_
_atom_site_label
_atom_site_fract_x
_atom_site_fract_y
_atom_site_fract_z
Ta1 0.000 0.000 0.000
Ir1 0.500 0.500 0.500
Os1 0.250 0.250 0.250
Os2 0.750 0.750 0.750



No. 12
# Ta2IrOs, optimized geometry, DFT PBE-GGA
# - DOS(E_F): 4.2 states/eV per cell
# - Symmetry: P2/m (10)
# - E_form: -381.8 meV/atom
data_Ta2IrOs
_symmetry_space_group_name_H-M 'P 1'
_symmetry_Int_Tables_number 1
_cell_length_a 2.959
_cell_length_b 3.697
_cell_length_c 5.936
_cell_angle_alpha 90.00
_cell_angle_beta 90.38
_cell_angle_gamma 90.00
loop_
_symmetry_equiv_pos_as_xyz
'x,y,z'
loop_
_atom_site_label
_atom_site_fract_x
_atom_site_fract_y
_atom_site_fract_z
Ta1 0.003 0.000 0.253
Ta2 0.997 0.000 0.747
Ir1 0.500 0.500 0.000
Os1 0.500 0.500 0.500



No. 13
# TaIr2Os, optimized geometry, DFT PBE-GGA
# - DOS(E_F): 2.7 states/eV per cell
# - Symmetry: Pmmm (47)
# - E_form: -335.1 meV/atom
data_TaIr2Os
_symmetry_space_group_name_H-M 'P 1'
_symmetry_Int_Tables_number 1
_cell_length_a 2.792
_cell_length_b 3.903
_cell_length_c 5.587
_cell_angle_alpha 90.00
_cell_angle_beta 90.00
_cell_angle_gamma 90.00
loop_
_symmetry_equiv_pos_as_xyz
'x,y,z'
loop_
_atom_site_label
_atom_site_fract_x
_atom_site_fract_y
_atom_site_fract_z
Ta1 0.000 0.000 0.000
Ir1 0.500 0.500 0.261
Ir2 0.500 0.500 0.739
Os1 0.000 0.000 0.500



No. 14
# TaIrOs2, optimized geometry, DFT PBE-GGA
# - DOS(E_F): 3.8 states/eV per cell
# - Symmetry: R-3m (166)
# - E_form: 81.1 meV/atom
data_TaIrOs2
_symmetry_space_group_name_H-M 'P 1'
_symmetry_Int_Tables_number 1
_cell_length_a 9.366
_cell_length_b 9.366
_cell_length_c 9.366
_cell_angle_alpha 16.98
_cell_angle_beta 16.98
_cell_angle_gamma 16.98
loop_
_symmetry_equiv_pos_as_xyz
'x,y,z'
loop_
_atom_site_label
_atom_site_fract_x
_atom_site_fract_y
_atom_site_fract_z
Ta1 0.000 0.000 0.000
Ir1 0.500 0.500 0.500
Os1 0.247 0.247 0.247
Os2 0.753 0.753 0.753